# Tb2SmTmSe5

A relaxed Tb2SmTmSe5 crystal (GGA-PBE, the Alexandria database).

As for the calculated density: 6.1 g/cm³. The spin magnetization comes out at 0.00 μB/f.u. For the calculated total energy, the calculation gives -5.17 eV/atom.

The structure belongs to space group P4/mmm (No. 123); the cell edges are 5.082, 5.082 and 10.855 Å and the angles 90.00°, 90.00° and 90.00°. The inequivalent atoms are Tb at (0.000, 0.000, 0.160), Sm at (0.500, 0.500, 0.500), Tm at (0.500, 0.500, 0.000), Se at (0.000, 0.000, 0.500), Se at (0.000, 0.500, 0.000) and Se at (0.500, 0.500, 0.249).